Below is an optimized crystal structure of Li6MnO4, with properties calculated at the GGA+U level.

The space group is P4_2/nmc (No. 137, origin choice 2) and the conventional cell measures 6.7034, 6.7034 and 4.7204 Å, with angles of 90.00, 90.00 and 90.00 degrees. The inequivalent atoms are Li at (0.0338, 0.5338, 0.2500), Li at (0.2500, 0.2500, 0.2143), Mn at (0.2500, 0.7500, 0.7500) and O at (0.0163, 0.2500, 0.4732).

As for the calculated volume: 212.11 Å³ per cell. As for the density: 2.51 g/cm³. The value obtained for the electronic total energy is -58.54 eV/f.u.